# 1
Here is crystalline ScCdAuO4 at its relaxed geometry from the Alexandria database. Energies are from PBE.

Cell: 6.8133 6.8133 6.8133 Å, 125.11 124.86 81.56°
Positions (direct):
Sc: 0.5000 0.0000 0.0000
Sc: 0.5000 0.5000 0.5000
Cd: 0.1310 0.3810 0.7500
Cd: 0.8690 0.6190 0.2500
Au: 0.0000 0.0000 0.0000
Au: 0.5000 0.0000 0.5000
O: 0.2623 0.7239 0.5384
O: 0.2795 0.2389 0.4594
O: 0.2795 0.8201 0.0406
O: 0.3145 0.2761 0.0384
O: 0.6855 0.7239 0.9616
O: 0.7205 0.1799 0.9594
O: 0.7205 0.7611 0.5406
O: 0.7377 0.2761 0.4616

Output
uncorrected formation energy = -1.49 eV/atom
E = -5.822 eV/atom
spin magnetization = 0.000 μB/atom


# 2
Here is crystalline Sr2CdAuO5 at its relaxed geometry from the Alexandria database. Energies are from PBE.

Cell: 7.3185 7.3185 10.8934 Å, 90.00 90.00 152.65°
Positions (direct):
Sr: 0.1032 0.8968 0.5000
Sr: 0.1477 0.8523 0.1106
Sr: 0.8523 0.1477 0.6106
Sr: 0.8968 0.1032 0.0000
Cd: 0.2157 0.7843 0.8346
Cd: 0.7843 0.2157 0.3346
Au: 0.4747 0.5253 0.2617
Au: 0.5253 0.4747 0.7617
O: 0.0539 0.9461 0.8804
O: 0.2731 0.7269 0.4762
O: 0.3367 0.6633 0.1954
O: 0.3837 0.6163 0.8094
O: 0.4843 0.5157 0.5836
O: 0.5157 0.4843 0.0836
O: 0.6163 0.3837 0.3094
O: 0.6633 0.3367 0.6954
O: 0.7269 0.2731 0.9762
O: 0.9461 0.0539 0.3804

Output
uncorrected formation energy = -1.40 eV/atom
E = -4.990 eV/atom
spin magnetization = 0.000 μB/atom
DOS at the Fermi energy = 5.03 states/eV/f.u.


# 3
Here is crystalline Sr2CdAuO4 at its relaxed geometry from the Alexandria database. Energies are from PBE.

Cell: 5.5900 5.5900 5.5900 Å, 111.07 111.07 106.31°
Positions (direct):
Sr: 0.0000 0.0000 0.0000
Sr: 0.7500 0.2500 0.5000
Cd: 0.5000 0.5000 0.0000
Au: 0.2500 0.7500 0.5000
O: 0.1018 0.4889 0.0248
O: 0.4641 0.0771 0.9752
O: 0.5111 0.5359 0.6129
O: 0.9229 0.8982 0.3871

Output
uncorrected formation energy = -1.48 eV/atom
E = -4.908 eV/atom
spin magnetization = 0.128 μB/atom
DOS at the Fermi energy = 2.25 states/eV/f.u.


# 4
Here is crystalline Sr3CdAu2O6 at its relaxed geometry from the Alexandria database. Energies are from PBE.

Cell: 5.9739 5.9739 6.5350 Å, 90.00 90.00 120.00°
Positions (direct):
Sr: 0.0000 0.0000 0.0000
Sr: 0.3333 0.6667 0.6030
Sr: 0.6667 0.3333 0.3970
Cd: 0.0000 0.0000 0.5000
Au: 0.3333 0.6667 0.0975
Au: 0.6667 0.3333 0.9025
O: 0.1685 0.3369 0.3008
O: 0.1685 0.8315 0.3008
O: 0.3369 0.1685 0.6992
O: 0.6631 0.8315 0.3008
O: 0.8315 0.1685 0.6992
O: 0.8315 0.6631 0.6992

Output
uncorrected formation energy = -1.21 eV/atom
E = -4.727 eV/atom
spin magnetization = 0.000 μB/atom
DOS at the Fermi energy = 3.29 states/eV/f.u.


- Which formula does entry 4 have?
  Sr3CdAu2O6


- What is the spin magnetization in the first record?
  0.000 μB/atom


- Which formula does entry 2 have?
  Sr2CdAuO5